# 1
The following is a DFT calculation (GGA-PBE) of a relaxed structure of HoTaO4.

Results
volume	303.5	Å³/cell
ρ	9.0	g/cm3
VASP energy	-9.3029	eV/atom
density of states at the Fermi level	0.000	states/eV per atom
crystal system	monoclinic
E_form (uncorrected)	-3.26	eV per atom

Lattice parameters (Å, degrees): 7.590 5.324 7.591 90.00 98.38 90.00
Positions (direct):
Ho: 0.146 0.221 0.387
Ho: 0.146 0.279 0.887
Ho: 0.854 0.721 0.113
Ho: 0.854 0.779 0.613
Ta: 0.336 0.731 0.185
Ta: 0.336 0.769 0.685
Ta: 0.664 0.231 0.315
Ta: 0.664 0.269 0.815
O: 0.109 0.516 0.173
O: 0.109 0.984 0.673
O: 0.177 0.008 0.118
O: 0.177 0.492 0.618
O: 0.329 0.625 0.936
O: 0.329 0.875 0.436
O: 0.433 0.098 0.809
O: 0.433 0.402 0.309
O: 0.567 0.598 0.691
O: 0.567 0.902 0.191
O: 0.671 0.125 0.564
O: 0.671 0.375 0.064
O: 0.823 0.508 0.382
O: 0.823 0.992 0.882
O: 0.891 0.016 0.327
O: 0.891 0.484 0.827


# 2
The following is a DFT calculation (GGA-PBE) of a relaxed structure of RbCaTe3.

Results
volume	228.3	Å³/cell
ρ	3.7	g/cm3
VASP energy	-2.1869	eV/atom
density of states at the Fermi level	2.195	states/eV per atom
crystal system	cubic
E_form (uncorrected)	0.29	eV per atom

Lattice parameters (Å, degrees): 6.112 6.112 6.112 90.00 90.00 90.00
Positions (direct):
Rb: 0.000 0.000 0.000
Ca: 0.500 0.500 0.500
Te: 0.000 0.000 0.500
Te: 0.000 0.500 0.000
Te: 0.500 0.000 0.000


# 3
The following is a DFT calculation (GGA-PBE) of a relaxed structure of Pm7DyY4.

Results
volume	402.9	Å³/cell
ρ	6.3	g/cm3
VASP energy	-5.3070	eV/atom
energy relative to the elements	2	meV per atom
density of states at the Fermi level	1.400	states/eV per atom
crystal system	triclinic

Lattice parameters (Å, degrees): 6.321 7.293 8.993 90.01 103.67 90.03
Positions (direct):
Pm: 0.000 0.000 0.000
Pm: 0.221 0.500 0.666
Pm: 0.278 0.749 0.334
Pm: 0.499 0.751 0.000
Pm: 0.501 0.249 0.000
Pm: 0.722 0.251 0.666
Pm: 0.779 0.500 0.334
Dy: 0.000 0.500 0.000
Y: 0.221 0.000 0.666
Y: 0.279 0.249 0.333
Y: 0.721 0.751 0.667
Y: 0.779 0.000 0.334


# 4
The following is a DFT calculation (GGA-PBE) of a relaxed structure of Nd8As4Se3.

Results
volume	430.2	Å³/cell
ρ	6.5	g/cm3
VASP energy	-6.0461	eV/atom
density of states at the Fermi level	0.416	states/eV per atom
crystal system	monoclinic
E_form (uncorrected)	-1.57	eV per atom

Lattice parameters (Å, degrees): 8.468 8.468 8.467 119.91 119.91 90.10
Positions (direct):
Nd: 0.246 0.754 0.000
Nd: 0.249 0.249 0.496
Nd: 0.252 0.252 0.010
Nd: 0.253 0.747 0.500
Nd: 0.747 0.253 0.500
Nd: 0.748 0.748 0.990
Nd: 0.751 0.751 0.504
Nd: 0.754 0.246 0.000
As: 0.000 0.000 0.000
As: 0.000 0.500 0.500
As: 0.500 0.000 0.500
As: 0.500 0.500 0.500
Se: 0.000 0.500 0.000
Se: 0.500 0.000 0.000
Se: 0.500 0.500 0.000